[1]
Crystalline CaLaS2 at its relaxed geometry. Source: the Alexandria database, functional PBE.

Unit cell a=4.3383 b=4.3383 c=24.7664 alpha=90.00 beta=90.00 gamma=120.00
Last column: nearest neighbours and their distance in Å.
Space group R-3m (No. 166, hexagonal axes)
Asymmetric unit:
Ca  0.0000  0.0000  0.0000 x3  2 S 2.68
La  0.0000  0.0000  0.5000 x3  6 S 2.89
S  0.0000  0.0000  0.1082 x6  1 Ca 2.68, 3 La 2.89

Properties
V = 33.640 A^3/atom
E_form (uncorrected) = -1.713 eV per atom
total magnetization = 0.000 μB/atom
final energy = -0.405 Ry/atom

=====

[2]
Crystalline CaLa4S5 at its relaxed geometry. Source: the Alexandria database, functional PBE.

Unit cell a=9.2418 b=9.2418 c=5.8561 alpha=90.00 beta=90.00 gamma=90.00
Last column: nearest neighbours and their distance in Å.
Space group I4/m (No. 87)
Asymmetric unit:
Ca  0.0000  0.0000  0.0000 x2  6 S 2.85-2.93
La  0.0992  0.3017  0.5000 x8  6 S 2.92-2.98
S  0.0000  0.0000  0.5000 x2  2 Ca 2.93, 4 La 2.93
S  0.0983  0.2924  0.0000 x8  1 Ca 2.85, 5 La 2.92-2.98

Properties
V = 25.008 A^3/atom
E_form (uncorrected) = -2.140 eV per atom
total magnetization = 0.000 μB/atom
final energy = -0.469 Ry/atom

=====

[3]
Crystalline CaLaS2 at its relaxed geometry. Source: the Alexandria database, functional PBE.

Unit cell a=4.0037 b=4.0037 c=21.4411 alpha=90.00 beta=90.00 gamma=120.00
Last column: nearest neighbours and their distance in Å.
Space group R3m (No. 160, hexagonal axes)
Asymmetric unit:
Ca  0.0000  0.0000  0.0000 x3  6 S 2.83-2.97
La  0.0000  0.0000  0.8264 x3  6 S 2.92-2.97
S  0.0000  0.0000  0.2465 x3  3 La 2.97, 3 Ca 2.97
S  0.0000  0.0000  0.4097 x3  3 Ca 2.83, 3 La 2.92

Properties
V = 24.804 A^3/atom
E_form (uncorrected) = -1.994 eV per atom
total magnetization = 0.000 μB/atom
final energy = -0.426 Ry/atom

=====

[4]
Crystalline CaLa5S8 at its relaxed geometry. Source: the Alexandria database, functional PBE.

Unit cell a=8.7143 b=8.7143 c=8.7396 alpha=90.00 beta=90.00 gamma=90.00
Last column: nearest neighbours and their distance in Å.
Space group I-4 (No. 82)
Asymmetric unit:
Ca  0.0000  0.0000  0.0000 x2  8 S 2.90-3.15
La  0.0000  0.5000  0.7500 x2  8 S 2.94-3.09
La  0.1285  0.2488  0.3705 x8  8 S 2.92-3.19
S  0.0703  0.3214  0.0478 x8  1 Ca 2.90, 5 La 2.92-3.19
S  0.0767  0.1764  0.6944 x8  5 La 2.92-3.10, 1 Ca 3.15

Properties
V = 23.703 A^3/atom
E_form (uncorrected) = -2.170 eV per atom
total magnetization = 0.000 μB/atom
final energy = -0.473 Ry/atom

=====

[5]
Crystalline Ca2La2S at its relaxed geometry. Source: the Alexandria database, functional PBE.

Unit cell a=7.6102 b=7.6102 c=6.5246 alpha=90.00 beta=90.00 gamma=90.00
Last column: nearest neighbours and their distance in Å.
Space group P4/mbm (No. 127)
Asymmetric unit:
Ca  0.1617  0.3383  0.0000 x4  1 Ca 3.48, 2 La 3.79
La  0.1583  0.6583  0.5000 x4  2 S 2.87
S  0.0000  0.0000  0.5000 x2  4 La 2.87

Properties
V = 37.788 A^3/atom
E_form (uncorrected) = -0.513 eV per atom
total magnetization = 0.000 μB/atom
final energy = -0.302 Ry/atom

=====

[6]
Crystalline CaLaS2 at its relaxed geometry. Source: the Alexandria database, functional PBE.

Unit cell a=3.9864 b=3.9864 c=7.2191 alpha=90.00 beta=90.00 gamma=120.00
Last column: nearest neighbours and their distance in Å.
Space group P-3m1 (No. 164)
Asymmetric unit:
Ca  0.0000  0.0000  0.0000 x1  6 S 2.88
La  0.0000  0.0000  0.5000 x1  6 S 2.98
S  0.3333  0.6667  0.2387 x2  3 Ca 2.88, 3 La 2.98

Properties
V = 24.838 A^3/atom
E_form (uncorrected) = -1.986 eV per atom
total magnetization = 0.000 μB/atom
final energy = -0.425 Ry/atom

=====

[7]
Crystalline CaLa3S4 at its relaxed geometry. Source: the Alexandria database, functional PBE.

Unit cell a=5.8481 b=5.8481 c=5.8481 alpha=90.00 beta=90.00 gamma=90.00
Last column: nearest neighbours and their distance in Å.
Space group Pm-3m (No. 221)
Asymmetric unit:
Ca  0.0000  0.0000  0.0000 x1  6 S 2.92
La  0.0000  0.5000  0.5000 x3  6 S 2.92
S  0.0000  0.0000  0.5000 x3  4 La 2.92, 2 Ca 2.92
S  0.5000  0.5000  0.5000 x1  6 La 2.92

Properties
V = 25.001 A^3/atom
E_form (uncorrected) = -2.131 eV per atom
total magnetization = 0.000 μB/atom
final energy = -0.462 Ry/atom

=====

[8]
Crystalline Ca3LaSb2S at its relaxed geometry. Source: the Alexandria database, functional PBE.

Unit cell a=5.1942 b=5.4166 c=16.3155 alpha=90.00 beta=90.00 gamma=90.00
Last column: nearest neighbours and their distance in Å.
Space group Immm (No. 71)
Asymmetric unit:
Ca  0.0000  0.0000  0.0000 x2  2 S 2.60
Ca  0.0000  0.5000  0.3247 x4  1 S 2.86, 1 Sb 3.11
La  0.0000  0.0000  0.5000 x2  2 S 2.71
Sb  0.0000  0.5000  0.1344 x4  1 Ca 3.11, 2 La 3.40
S  0.0000  0.5000  0.5000 x2  4 Ca 2.60-2.86, 2 La 2.71

Properties
V = 32.788 A^3/atom
E_form (uncorrected) = -1.167 eV per atom
total magnetization = 0.000 μB/atom
final energy = -0.330 Ry/atom

=====

[9]
Crystalline Ca2LaScS4 at its relaxed geometry. Source: the Alexandria database, functional PBE.

Unit cell a=6.8724 b=3.9648 c=6.9587 alpha=90.00 beta=109.11 gamma=90.00
Last column: nearest neighbours and their distance in Å.
Space group P2/m (No. 10)
Asymmetric unit:
Ca  0.0000  0.0000  0.0000 x1  6 S 2.90
Ca  0.5000  0.5000  0.0000 x1  6 S 2.77
La  0.0000  0.5000  0.5000 x1  6 S 2.86-2.87
Sc  0.5000  0.0000  0.5000 x1  6 S 2.73-2.74
S  0.2669  0.0000  0.7514 x2  1 Sc 2.73, 3 Ca 2.77-2.90, 2 La 2.87
S  0.2686  0.5000  0.2603 x2  2 Sc 2.74, 3 Ca 2.77-2.90, 1 La 2.86

Properties
V = 22.394 A^3/atom
E_form (uncorrected) = -2.003 eV per atom
total magnetization = 0.000 μB/atom
final energy = -0.439 Ry/atom

=====

[10]
Crystalline CaLaSm4S8 at its relaxed geometry. Source: the Alexandria database, functional PBE.

Unit cell a=8.2573 b=8.2573 c=20.5294 alpha=90.00 beta=90.00 gamma=120.00
Last column: nearest neighbours and their distance in Å.
Space group R3m (No. 160, hexagonal axes)
Asymmetric unit:
Ca  0.0000  0.0000  0.0000 x3  4 S 2.72-2.74
La  0.0000  0.0000  0.6271 x3  6 S 2.86-2.91
Sm  0.0000  0.0000  0.2512 x3  4 S 2.69-2.72
Sm  0.1691  0.3382  0.4583 x9  6 S 2.79-2.86
S  0.0000  0.0000  0.3836 x3  4 Sm 2.72-2.86
S  0.0000  0.0000  0.8665 x3  1 Ca 2.74, 3 Sm 2.81
S  0.0211  0.5105  0.3808 x9  1 Ca 2.72, 2 Sm 2.79, 1 La 2.86
S  0.1754  0.3508  0.2042 x9  3 Sm 2.69-2.85, 1 La 2.91

Properties
V = 28.862 A^3/atom
E_form (uncorrected) = -1.994 eV per atom
total magnetization = 0.000 μB/atom
final energy = -0.455 Ry/atom

=====

[11]
Crystalline CaLaSm2S4 at its relaxed geometry. Source: the Alexandria database, functional PBE.

Unit cell a=8.0843 b=8.1272 c=11.4584 alpha=90.00 beta=90.00 gamma=90.00
Last column: nearest neighbours and their distance in Å.
Space group Imma (No. 74)
Asymmetric unit:
Ca  0.2500  0.2500  0.2500 x4  6 S 2.85
La  0.0000  0.0000  0.0000 x4  6 S 2.90
Sm  0.0000  0.0000  0.5000 x4  6 S 2.83
Sm  0.2500  0.2500  0.7500 x4  6 S 2.88
S  0.0000  0.0020  0.2533 x8  3 Sm 2.83-2.88, 2 Ca 2.85, 1 La 2.90
S  0.2433  0.2500  0.4985 x8  3 Sm 2.83-2.88, 1 Ca 2.85, 2 La 2.90

Properties
V = 23.527 A^3/atom
E_form (uncorrected) = -2.069 eV per atom
total magnetization = 0.000 μB/atom
final energy = -0.454 Ry/atom

=====

[12]
Crystalline CaLa2SmS4 at its relaxed geometry. Source: the Alexandria database, functional PBE.

Unit cell a=7.0858 b=4.0673 c=7.0971 alpha=90.00 beta=109.16 gamma=90.00
Last column: nearest neighbours and their distance in Å.
Space group P2/m (No. 10)
Asymmetric unit:
Ca  0.0000  0.0000  0.0000 x1  6 S 2.83-2.84
La  0.0000  0.5000  0.5000 x1  6 S 2.93
La  0.5000  0.0000  0.5000 x1  6 S 2.94-2.95
Sm  0.5000  0.5000  0.0000 x1  6 S 2.85
S  0.2446  0.5000  0.2378 x2  2 Ca 2.84, 1 Sm 2.85, 3 La 2.93-2.94
S  0.2518  0.0000  0.7619 x2  1 Ca 2.83, 2 Sm 2.85, 3 La 2.93-2.95

Properties
V = 24.152 A^3/atom
E_form (uncorrected) = -2.102 eV per atom
total magnetization = 0.000 μB/atom
final energy = -0.458 Ry/atom